# PBE-GGA SrLiTi4O8, relaxed
data_SrLiTi4O8
_cell_length_a 6.0663
_cell_length_b 6.0663
_cell_length_c 16.0795
_cell_angle_alpha 90.00
_cell_angle_beta 90.00
_cell_angle_gamma 120.00
_space_group_name_H-M_alt 'R 3 m'
_space_group_IT_number 160
_space_group_name_Hall 'R 3 -2"'
loop_
_atom_site_label
_atom_site_fract_x
_atom_site_fract_y
_atom_site_fract_z
_atom_site_occupancy
Sr1 0.0000 0.0000 0.0000 1
Li1 0.0000 0.0000 0.6463 1
Ti1 0.0000 0.0000 0.2546 1
Ti2 0.0028 0.5014 0.1316 1
O1 0.0000 0.0000 0.3773 1
O2 0.0000 0.0000 0.8599 1
O3 0.0427 0.5213 0.4018 1
O4 0.1679 0.3358 0.2142 1
# - ΔE_f (raw): -2742.8 meV/atom
# - Fermi-level density of states: 5.50 states/eV/cell
# - Total moment: 3.0 μB per formula unit